This record from Alexandria describes crystalline CuAg2Sn2 at its relaxed geometry. The functional is PBE-GGA.

Properties
ΔE to the lowest computed polymorph: 0.0 meV per atom
energy of formation from the pure elements: 0.86 eV per formula unit

a b c (Å): 6.9263 6.9263 4.5016
angles (deg): 90.00 90.00 90.00
With the nearest neighbours (Å) after each atom.
Sites, in units of the cell vectors:
Cu (0.0000, 0.0000, 0.0000)  4 Sn 2.61
Cu (0.5000, 0.5000, 0.0000)  4 Sn 2.61
Sn (0.3429, 0.8430, 0.0000)  2 Cu 2.61
Sn (0.8430, 0.6570, 0.0000)  2 Cu 2.61
Sn (0.6570, 0.1570, 0.0000)  2 Cu 2.61
Sn (0.1570, 0.3429, 0.0000)  2 Cu 2.61
Ag (0.1490, 0.6490, 0.5000)  1 Ag 2.92, 6 Sn 2.95-3.09
Ag (0.6490, 0.8510, 0.5000)  1 Ag 2.92, 6 Sn 2.95-3.09
Ag (0.8510, 0.3510, 0.5000)  1 Ag 2.92, 6 Sn 2.95-3.09
Ag (0.3510, 0.1490, 0.5000)  1 Ag 2.92, 6 Sn 2.95-3.09